SmSn6Se8 | PBE-GGA | relaxed Values from VASP.

Crystal system: trigonal
Energy in eV/atom: -4.341
Raw formation energy in meV/atom: -567
SG: No. 147
Fermi-level density of states in states/eV per atom: 0.59

The structure in Quantum ESPRESSO input format:
```
&SYSTEM
  ibrav = 0, nat = 15, ntyp = 3
/
ATOMIC_SPECIES
Sm 150.36 Sm.upf
Sn 118.71 Sn.upf
Se 78.96 Se.upf
ATOMIC_POSITIONS crystal
Sm 0.5000 0.0000 0.0000
Sn 0.6815 0.6805 0.0932
Sn 0.6815 0.9068 0.5872
Sn 0.6815 0.4128 0.3195
Sn 0.3185 0.3195 0.9068
Sn 0.3185 0.0932 0.4128
Sn 0.3185 0.5872 0.6805
Se 0.7502 0.9960 0.2610
Se 0.7502 0.7390 0.7350
Se 0.7502 0.2650 0.0041
Se 0.2498 0.0040 0.7390
Se 0.2498 0.2610 0.2650
Se 0.2498 0.7350 0.9959
Se 0.5508 0.3333 0.6667
Se 0.4492 0.6667 0.3333
CELL_PARAMETERS angstrom
5.6941 0.0000 0.0000
0.0000 8.5907 -4.9598
0.0000 0.0000 9.9197
```